OsRu2W after structural relaxation, computed with GGA-PBE.

The calculation puts the calculated total energy at -169.8 eV/cell. The calculated formation energy comes out at 0.0688 eV/atom. The value obtained for the magnetic moment is 0.00 μB/atom. The density of states at the Fermi level comes out at 4.24 states/eV/f.u. The value obtained for the energy above the most stable polymorph in this dataset is 0.083 eV per atom.

It has space group P2/c (No. 13), with a = 4.748 Å, b = 5.507 Å, c = 9.094 Å, α = 90.00°, β = 100.09° and γ = 90.00°. The inequivalent atoms are Os at (0.128, 0.134, 0.122), Ru at (0.132, 0.379, 0.623), Ru at (0.371, 0.368, 0.372) and W at (0.356, 0.132, 0.873).